{"formula": "CrSCl2O", "functional": "PBE+U", "state": "optimized geometry", "lattice": [[4.7390, 0.0000, 0.0000], [0.0000, 4.7390, 0.0000], [0.0000, 0.0000, 4.8431]], "species": ["Cr", "S", "O", "Cl", "Cl"], "frac_coords": [[0.0000, 0.0000, 0.0000], [0.0000, 0.0000, 0.5000], [0.5000, 0.5000, 0.5000], [0.0000, 0.5000, 0.0000], [0.5000, 0.0000, 0.0000]], "space_group": "P4/mmm, No. 123", "magnetic_moment_mub_per_cell": 0.00, "polymorph_energy_ev_per_atom": 0.0000}